[1]
CuSnBRu2 | GGA-PBE | relaxed

Summary:
- space-group type = P4/mmm (123)
- calculated formation energy (meV/atom) = -16.1
- size of the total moment (μB per cell) = 0.0
- electronic total energy (eV/cell) = -33.409

Cell lengths 4.1872, 4.1872, 3.9333 Å; angles 90.00, 90.00, 90.00 degrees
Fractional positions:
Cu 0.0000 0.0000 0.0000
Sn 0.5000 0.5000 0.0000
B 0.0000 0.0000 0.5000
Ru 0.0000 0.5000 0.5000
Ru 0.5000 0.0000 0.5000

---

[2]
Ta2CuB2Ru5 | GGA-PBE | relaxed

Summary:
- space-group type = P4/mbm (127)
- calculated formation energy (meV/atom) = -369.2
- size of the total moment (μB per cell) = 0.0
- electronic total energy (eV/cell) = -182.455

Cell lengths 9.2399, 9.2399, 3.0206 Å; angles 90.00, 90.00, 90.00 degrees
Fractional positions:
Ta 0.1771 0.3229 0.0000
Ta 0.3229 0.8229 0.0000
Ta 0.6771 0.1771 0.0000
Ta 0.8229 0.6771 0.0000
Cu 0.0000 0.0000 0.0000
Cu 0.5000 0.5000 0.0000
B 0.1259 0.6259 0.0000
B 0.3741 0.1259 0.0000
B 0.6259 0.8741 0.0000
B 0.8741 0.3741 0.0000
Ru 0.0000 0.5000 0.5000
Ru 0.0725 0.7862 0.5000
Ru 0.2138 0.0725 0.5000
Ru 0.2862 0.5725 0.5000
Ru 0.4275 0.2862 0.5000
Ru 0.5000 0.0000 0.5000
Ru 0.5725 0.7138 0.5000
Ru 0.7138 0.4275 0.5000
Ru 0.7862 0.9275 0.5000
Ru 0.9275 0.2138 0.5000

---

[3]
CuBTeRu2 | GGA-PBE | relaxed

Summary:
- space-group type = P4/mmm (123)
- energy relative to the elements, uncorrected (eV per atom) = 1.156
- size of the total moment (μB per cell) = 1.1
- electronic total energy (eV/cell) = -26.685

Cell lengths 4.7046, 4.7046, 3.6135 Å; angles 90.00, 90.00, 90.00 degrees
Fractional positions:
Cu 0.0000 0.0000 0.0000
B 0.0000 0.0000 0.5000
Te 0.5000 0.5000 0.5000
Ru 0.0000 0.5000 0.0000
Ru 0.5000 0.0000 0.0000

---

[4]
Tl2CuBRu | GGA-PBE | relaxed

Summary:
- space-group type = P4/mmm (123)
- calculated formation energy (meV/atom) = 1512.1
- size of the total moment (μB per cell) = 0.3
- electronic total energy (eV/cell) = -17.222

Cell lengths 5.2173, 5.2173, 4.7219 Å; angles 90.00, 90.00, 90.00 degrees
Fractional positions:
Tl 0.0000 0.5000 0.0000
Tl 0.5000 0.0000 0.0000
Cu 0.0000 0.0000 0.5000
B 0.5000 0.5000 0.5000
Ru 0.0000 0.0000 0.0000

---

[5]
YCuBRu2 | GGA-PBE | relaxed

Summary:
- space-group type = P4/mmm (123)
- calculated formation energy (meV/atom) = -267.3
- size of the total moment (μB per cell) = 0.5
- electronic total energy (eV/cell) = -37.126

Cell lengths 4.2427, 4.2427, 4.0453 Å; angles 90.00, 90.00, 90.00 degrees
Fractional positions:
Y 0.0000 0.0000 0.0000
Cu 0.5000 0.5000 0.0000
B 0.5000 0.5000 0.5000
Ru 0.0000 0.5000 0.5000
Ru 0.5000 0.0000 0.5000

---

[6]
Zr2CuB2Ru5 | GGA-PBE | relaxed

Summary:
- space-group type = P4/mbm (127)
- calculated formation energy (meV/atom) = -440.1
- size of the total moment (μB per cell) = 0.0
- electronic total energy (eV/cell) = -170.654

Cell lengths 9.3322, 9.3322, 3.0964 Å; angles 90.00, 90.00, 90.00 degrees
Fractional positions:
Zr 0.1756 0.3244 0.0000
Zr 0.3244 0.8244 0.0000
Zr 0.6756 0.1756 0.0000
Zr 0.8244 0.6756 0.0000
Cu 0.0000 0.0000 0.0000
Cu 0.5000 0.5000 0.0000
B 0.1251 0.6251 0.0000
B 0.3749 0.1251 0.0000
B 0.6251 0.8749 0.0000
B 0.8749 0.3749 0.0000
Ru 0.0000 0.5000 0.5000
Ru 0.0718 0.7858 0.5000
Ru 0.2142 0.0718 0.5000
Ru 0.2858 0.5718 0.5000
Ru 0.4282 0.2858 0.5000
Ru 0.5000 0.0000 0.5000
Ru 0.5718 0.7142 0.5000
Ru 0.7142 0.4282 0.5000
Ru 0.7858 0.9282 0.5000
Ru 0.9282 0.2142 0.5000

---

[7]
ZrCuBRu2 | GGA-PBE | relaxed

Summary:
- space-group type = P4/mmm (123)
- calculated formation energy (meV/atom) = -336.5
- size of the total moment (μB per cell) = 0.0
- electronic total energy (eV/cell) = -39.556

Cell lengths 4.1966, 4.1966, 3.9034 Å; angles 90.00, 90.00, 90.00 degrees
Fractional positions:
Zr 0.0000 0.0000 0.0000
Cu 0.5000 0.5000 0.0000
B 0.5000 0.5000 0.5000
Ru 0.0000 0.5000 0.5000
Ru 0.5000 0.0000 0.5000

---

[8]
ZrCu2BRu | GGA-PBE | relaxed

Summary:
- space-group type = P4/mmm (123)
- calculated formation energy (meV/atom) = -68.2
- size of the total moment (μB per cell) = 0.0
- electronic total energy (eV/cell) = -33.035

Cell lengths 4.0056, 4.0056, 4.2351 Å; angles 90.00, 90.00, 90.00 degrees
Fractional positions:
Zr 0.0000 0.0000 0.0000
Cu 0.0000 0.5000 0.5000
Cu 0.5000 0.0000 0.5000
B 0.5000 0.5000 0.5000
Ru 0.5000 0.5000 0.0000

---

[9]
Cu2BS | GGA-PBE | relaxed

Summary:
- space-group type = I-42d (122)
- energy relative to the elements, uncorrected (eV per atom) = 0.474
- size of the total moment (μB per cell) = 0.0
- electronic total energy (eV/cell) = -34.205

Cell lengths 7.1318, 7.1318, 7.1318 Å; angles 146.81, 146.81, 47.65 degrees
Fractional positions:
Cu 0.0669 0.6250 0.9419
Cu 0.3750 0.3169 0.4419
Cu 0.6831 0.1250 0.0581
Cu 0.8750 0.9331 0.5581
B 0.0000 0.0000 0.0000
B 0.7500 0.2500 0.5000
S 0.2500 0.7500 0.5000
S 0.5000 0.5000 0.0000

---

[10]
Cu3BS | GGA-PBE | relaxed

Summary:
- space-group type = Pm-3m (221)
- energy relative to the elements, uncorrected (eV per atom) = 0.525
- size of the total moment (μB per cell) = 0.0
- electronic total energy (eV/cell) = -20.469

Cell lengths 4.0182, 4.0182, 4.0182 Å; angles 90.00, 90.00, 90.00 degrees
Fractional positions:
Cu 0.0000 0.0000 0.5000
Cu 0.0000 0.5000 0.0000
Cu 0.5000 0.0000 0.0000
B 0.0000 0.0000 0.0000
S 0.5000 0.5000 0.5000

---

[11]
CuBS2 | GGA-PBE | relaxed

Summary:
- space-group type = R-3m (166)
- energy relative to the elements, uncorrected (eV per atom) = -0.019
- size of the total moment (μB per cell) = 0.0
- electronic total energy (eV/cell) = -19.104

Cell lengths 6.1804, 6.1804, 6.1804 Å; angles 35.67, 35.67, 35.67 degrees
Fractional positions:
Cu 0.0000 0.0000 0.0000
B 0.5000 0.5000 0.5000
S 0.4031 0.4031 0.4031
S 0.5969 0.5969 0.5969

---

[12]
CuBS2 | GGA-PBE | relaxed

Summary:
- space-group type = P2_1 (4)
- energy relative to the elements, uncorrected (eV per atom) = -0.288
- size of the total moment (μB per cell) = 0.0
- electronic total energy (eV/cell) = -40.364

Cell lengths 3.9876, 4.7316, 6.7874 Å; angles 90.00, 91.45, 90.00 degrees
Fractional positions:
Cu 0.2161 0.0000 0.1514
Cu 0.7839 0.5000 0.8486
B 0.0715 0.1577 0.6323
B 0.9285 0.6577 0.3677
S 0.1991 0.3402 0.3997
S 0.2731 0.2579 0.8628
S 0.7269 0.7579 0.1372
S 0.8009 0.8402 0.6003

---

Calculated density (Mg/m³)
9.516 12.265 8.390 7.547 8.333 9.520 8.882 8.069 5.213 5.977 3.205 3.592